{"formula": "YWO3", "functional": "PBE with a Hubbard U", "state": "optimized geometry", "space_group": "Pnma", "n_ef_per_ev_cell": 0.0, "total_energy_ev_per_cell": -165.9, "crystal_system": "orthorhombic", "lattice_angstrom": [[5.883, 0.000, 0.000], [0.000, 8.065, 0.000], [0.000, 0.000, 5.533]], "species": ["Y", "Y", "Y", "Y", "W", "W", "W", "W", "O", "O", "O", "O", "O", "O", "O", "O", "O", "O", "O", "O"], "frac_coords": [[0.065, 0.250, 0.022], [0.435, 0.750, 0.522], [0.565, 0.250, 0.478], [0.935, 0.750, 0.978], [0.000, 0.000, 0.500], [0.000, 0.500, 0.500], [0.500, 0.000, 0.000], [0.500, 0.500, 0.000], [0.069, 0.750, 0.360], [0.190, 0.572, 0.817], [0.190, 0.928, 0.817], [0.310, 0.072, 0.317], [0.310, 0.428, 0.317], [0.431, 0.250, 0.860], [0.569, 0.750, 0.140], [0.690, 0.572, 0.683], [0.690, 0.928, 0.683], [0.810, 0.072, 0.183], [0.810, 0.428, 0.183], [0.931, 0.250, 0.640]]}